DFT (PBEsol) results for an optimized crystal structure of AlGaRu2.

abc: 5.9572 5.9572 5.9572
angles: 90.00 90.00 90.00
Space group Fm-3m (No. 225)
Unique sites:
Al (0.0000, 0.0000, 0.0000)
Ga (0.0000, 0.0000, 0.5000)
Ru (0.2500, 0.2500, 0.2500)

## Properties
**Calculated formation energy**: -0.47 eV per atom
**D(E_F)**: 13.42 states/eV per cell

DFT (PBEsol) results for an optimized crystal structure of CaRh3F.

abc: 4.3015 4.3015 4.3015
angles: 90.00 90.00 90.00
Space group Pm-3m (No. 221)
Unique sites:
Ca (0.0000, 0.0000, 0.0000)
Rh (0.0000, 0.5000, 0.5000)
F (0.5000, 0.5000, 0.5000)

## Properties
**Raw formation energy**: 0.327 eV/atom
**D(E_F)**: 8.26 states/eV per cell

DFT (PBEsol) results for an optimized crystal structure of Mg2OsRu.

abc: 2.6812 4.2150 5.3576
angles: 90.00 90.00 90.00
Space group Pmmm (No. 47)
Unique sites:
Mg (0.0000, 0.0000, 0.2503)
Os (0.5000, 0.5000, 0.0000)
Ru (0.5000, 0.5000, 0.5000)

## Properties
**Calculated formation energy**: 0.35 eV per atom
**D(E_F)**: 4.90 states/eV per cell

DFT (PBEsol) results for an optimized crystal structure of ReOs2W.

abc: 3.8798 3.8798 3.8626
angles: 90.00 90.00 90.00
Space group P4/mmm (No. 123)
Unique sites:
Re (0.0000, 0.0000, 0.0000)
Os (0.0000, 0.5000, 0.5000)
W (0.5000, 0.5000, 0.0000)

## Properties
**Calculated formation energy**: 0.03 eV per atom
**D(E_F)**: 3.92 states/eV per cell

no.,total magnetic moment (μB/f.u.),electronic total energy (eV/atom)
1,0.0,-7.41
2,1.8,-5.37
3,0.0,-6.11
4,0.0,-12.86